Record 1
# Ba2CdPt2

A geometry-optimized Ba2CdPt2 structure (GGA-PBEsol, Alexandria).

The structure in POSCAR format:
```
Ba2CdPt2
1.0
-1.866 0.631 -3.956
-5.735 -5.017 1.905
-4.219 5.938 2.937
Cd Ba Pt
2 4 4
Direct
0.000 0.000 0.000
0.000 0.500 0.500
0.500 0.173 0.673
0.500 0.327 0.173
0.500 0.827 0.327
0.500 0.673 0.827
0.000 0.626 0.126
0.000 0.126 0.374
0.000 0.374 0.874
0.000 0.874 0.626
```

ΔH_f (0 K) ... -0.494 eV per atom
Electronic total energy ... -21.894 eV per formula unit

Record 2
# BaCd4Pt2

A geometry-optimized BaCd4Pt2 structure (GGA-PBEsol, Alexandria).

The structure in POSCAR format:
```
BaCd4Pt2
1.0
4.438 0.000 0.000
0.000 8.330 0.000
0.000 0.000 8.330
Pt Cd Ba
4 8 2
Direct
0.000 0.721 0.721
0.500 0.779 0.221
0.000 0.279 0.279
0.500 0.221 0.779
0.500 0.910 0.656
0.500 0.090 0.344
0.000 0.590 0.156
0.500 0.344 0.090
0.000 0.156 0.590
0.000 0.844 0.410
0.000 0.410 0.844
0.500 0.656 0.910
0.000 0.000 0.000
0.500 0.500 0.500
```

ΔH_f (0 K) ... -0.435 eV per atom
Electronic total energy ... -23.909 eV per formula unit

Record 3
# BaTl2CdPt

A geometry-optimized BaTl2CdPt structure (GGA-PBEsol, Alexandria).

The structure in POSCAR format:
```
BaTl2CdPt
1.0
-1.448 4.740 3.224
-0.205 -3.492 5.042
5.946 1.122 1.020
Pt Cd Tl Ba
1 1 2 1
Direct
0.500 0.500 0.500
0.500 0.000 0.000
0.000 0.000 0.500
0.000 0.500 0.000
0.000 0.000 0.000
```

ΔH_f (0 K) ... 1.458 eV per atom
Electronic total energy ... -8.278 eV per formula unit

Record 4
# BaCdRe

A geometry-optimized BaCdRe structure (GGA-PBEsol, Alexandria).

The structure in POSCAR format:
```
BaCdRe
1.0
5.004 0.000 0.000
2.502 4.334 0.000
2.502 1.445 4.086
Re Ba Cd
1 1 1
Direct
0.000 0.000 0.000
0.500 0.500 0.500
0.250 0.250 0.250
```

ΔH_f (0 K) ... 1.542 eV per atom
Electronic total energy ... -12.051 eV per formula unit

Record 5
# Ba2TiCdRe

A geometry-optimized Ba2TiCdRe structure (GGA-PBEsol, Alexandria).

The structure in POSCAR format:
```
Ba2TiCdRe
1.0
5.141 0.000 0.000
0.000 5.764 0.000
0.000 0.000 5.764
Ti Re Ba Cd
1 1 2 1
Direct
0.000 0.000 0.000
0.500 0.500 0.500
0.000 0.000 0.500
0.000 0.500 0.000
0.500 0.000 0.000
```

ΔH_f (0 K) ... 1.768 eV per atom
Electronic total energy ... -18.311 eV per formula unit

Record 6
# Ba2CdRh

A geometry-optimized Ba2CdRh structure (GGA-PBEsol, Alexandria).

The structure in POSCAR format:
```
Ba2CdRh
1.0
4.655 0.000 0.000
0.000 4.605 0.000
-2.327 0.000 5.998
Ba Rh Cd
2 1 1
Direct
0.394 0.500 0.789
0.112 0.000 0.224
0.690 0.500 0.379
0.812 0.000 0.624
```

ΔH_f (0 K) ... -0.152 eV per atom
Electronic total energy ... -14.242 eV per formula unit

Record 7
# BaCd2Rh

A geometry-optimized BaCd2Rh structure (GGA-PBEsol, Alexandria).

The structure in POSCAR format:
```
BaCd2Rh
1.0
4.696 0.000 0.000
2.348 4.069 0.000
2.348 1.356 5.574
Ba Cd Rh
1 2 1
Direct
0.754 0.753 0.740
0.230 0.230 0.309
0.951 0.951 0.147
0.565 0.565 0.304
```

ΔH_f (0 K) ... -0.189 eV per atom
Electronic total energy ... -13.436 eV per formula unit

Record 8
# BaCd2Rh

A geometry-optimized BaCd2Rh structure (GGA-PBEsol, Alexandria).

The structure in POSCAR format:
```
BaCd2Rh
1.0
-0.334 4.466 -1.148
-2.689 -3.129 -2.082
-2.111 1.343 5.839
Cd Rh Ba
2 1 1
Direct
0.799 0.597 0.896
0.201 0.403 0.104
0.500 0.000 0.000
0.000 0.000 0.500
```

ΔH_f (0 K) ... -0.150 eV per atom
Electronic total energy ... -13.282 eV per formula unit